The following is a DFT calculation (PBE-GGA) of a relaxed GePd3Au2 crystal.

Output
Magnetization ... 0.00 μB per cell
Distance to the lowest polymorph of the same formula ... 0.00 eV/f.u.
Energy relative to the elements ... -0.2378 eV per atom

extended XYZ file:
```
12
Lattice="2.1553 -6.4942 0.0000 2.1553 6.4942 0.0000 0.0000 0.0000 6.9734" Properties=species:S:1:pos:R:3 pbc="T T T"
Ge 2.1553 4.4869 0.0000
Ge 2.1553 -4.4869 0.0000
Pd 0.0000 0.0000 1.6798
Pd 0.0000 0.0000 5.2935
Pd 2.1553 2.2928 1.5133
Pd 2.1553 2.2928 5.4600
Pd 2.1553 -2.2928 1.5133
Pd 2.1553 -2.2928 5.4600
Au 2.1553 4.3279 3.4867
Au 2.1553 0.0000 0.0000
Au 2.1553 0.0000 3.4867
Au 2.1553 -4.3279 3.4867
```